A plane-wave DFT calculation with GGA-PBE was carried out for Zn4Ir3Au after structural relaxation.

The structure belongs to space group I4/mmm (No. 139); the cell edges are 4.332, 4.332 and 12.294 Å and the angles 90.00°, 90.00° and 90.00°. The inequivalent atoms are Zn at (0.000, 0.500, 0.129), Ir at (0.000, 0.000, 0.000), Ir at (0.000, 0.000, 0.246) and Au at (0.000, 0.000, 0.500).

The calculation puts the formation energy at -163 meV per atom.